The following is a DFT calculation (GGA-PBE) of a relaxed Np2MnCrS6 crystal.

Results
density: 5980 kg/m3
final energy: -7.876 eV per atom
E_form (uncorrected): -0.93 eV per atom

Cell: 6.5394 6.5394 6.9198 Å, 61.80 61.80 59.99°
With the nearest neighbours (Å) after each atom.
Sites, in units of the cell vectors:
Np1 0.5211 0.5211 0.4368  6 S 2.72-2.74
Np2 0.0148 0.0148 0.9556  6 S 2.69-2.72
Mn1 0.8175 0.8176 0.5473  6 S 2.48-2.66
Cr1 0.3259 0.3259 0.0224  6 S 2.41-2.47
S1 0.5770 0.1977 0.2547  1 Cr 2.41, 1 Mn 2.66, 1 Np 2.69
S2 0.1977 0.9705 0.2547  1 Cr 2.41, 1 Mn 2.66, 1 Np 2.69
S3 0.9706 0.5770 0.2547  1 Cr 2.41, 1 Mn 2.66, 1 Np 2.69
S4 0.4496 0.6908 0.7630  1 Cr 2.47, 1 Mn 2.48, 2 Np 2.72
S5 0.6908 0.0965 0.7630  1 Cr 2.47, 1 Mn 2.48, 2 Np 2.72
S6 0.0966 0.4496 0.7630  1 Cr 2.47, 1 Mn 2.48, 2 Np 2.72